# ZrNiOsPd2, optimized geometry, DFT PBE
# - V: 18.083 Å³/atom
# - Energy of formation: 3.1 eV/f.u.
# - E: -6.58 eV per atom
data_ZrNiOsPd2
_chemical_formula_sum 'Zr1 Ni1 Os1 Pd2'
_cell_length_a 4.5359
_cell_length_b 4.5359
_cell_length_c 4.3945
_cell_angle_alpha 90.00
_cell_angle_beta 90.00
_cell_angle_gamma 90.00
_space_group_name_H-M_alt 'P 4/m m m'
_space_group_IT_number 123
_space_group_name_Hall '-P 4 2'
loop_
_atom_site_label
_atom_site_type_symbol
_atom_site_fract_x
_atom_site_fract_y
_atom_site_fract_z
Zr1 Zr 0.0000 0.0000 0.0000
Ni1 Ni 0.5000 0.5000 0.5000
Os1 Os 0.5000 0.5000 0.0000
Pd1 Pd 0.0000 0.5000 0.5000